Rb2SbH: optimized geometry, PBE.

Values from the calculation:
Distance to the lowest polymorph of the same formula: 0.000 eV/atom
Crystal system: orthorhombic
M_tot: 0.00 Bohr magnetons per cell
E: -2.6692 eV per atom

Cell lengths 6.1721, 12.2832, 8.9890 Å; angles 90.00, 90.00, 90.00 degrees
Atoms (fractional coordinates):
Rb (0.2783, 0.6291, 0.0003)
Rb (0.2217, 0.1291, 0.4997)
Rb (0.7217, 0.3709, 0.5003)
Rb (0.7783, 0.8709, 0.9997)
Rb (0.7217, 0.3709, 0.9997)
Rb (0.7783, 0.8709, 0.5003)
Rb (0.2783, 0.6291, 0.4997)
Rb (0.2217, 0.1291, 0.0003)
Sb (0.7786, 0.6193, 0.2500)
Sb (0.7214, 0.1193, 0.2500)
Sb (0.2214, 0.3807, 0.7500)
Sb (0.2786, 0.8807, 0.7500)
H (0.9185, 0.2237, 0.2500)
H (0.5815, 0.7237, 0.2500)
H (0.0815, 0.7763, 0.7500)
H (0.4185, 0.2763, 0.7500)